Computed, not measured: a relaxed AlRu2C crystal at the PBE level of DFT.

The value obtained for the energy of formation from the pure elements is 0.7035 eV/atom. The value obtained for the energy is -114.82 eV for the cell shown. The total magnetization comes out at 0.000 μB per atom. The energy above the most stable polymorph in this dataset comes out at 59.6 kJ/mol of atoms.

a b c (Å): 5.7375 5.7375 5.7375
angles (deg): 90.00 90.00 90.00
Closest atoms and distances in Å follow each position.
Space group Fm-3m (No. 225)
One atom of each set of equivalent atoms:
Al  0.0000  0.0000  0.0000 (multiplicity 4)  8 Ru 2.48
Ru  0.2500  0.2500  0.2500 (multiplicity 8)  4 Al 2.48, 4 C 2.48
C  0.0000  0.0000  0.5000 (multiplicity 4)  8 Ru 2.48